No. 1
Na2InReO | PBE | optimized geometry

a b c (Å): 5.735 5.735 5.175
angles (deg): 90.00 90.00 90.00
Space group P4/mmm (No. 123)
Inequivalent atoms, fractional coordinates:
Na  0.000  0.500  0.000 [2 per cell]
In  0.000  0.000  0.000 [1 per cell]
Re  0.000  0.000  0.500 [1 per cell]
O  0.500  0.500  0.500 [1 per cell]

Raw formation energy in eV/atom: 1.4510

No. 2
Na3In3RhO8 | PBE | optimized geometry

a b c (Å): 6.4954 6.4954 16.5730
angles (deg): 90.00 90.00 120.00
Space group R-3m (No. 166, hexagonal axes)
Inequivalent atoms, fractional coordinates:
Na  0.0000  0.5000  0.0000 [9 per cell]
In  0.0000  0.5000  0.5000 [9 per cell]
Rh  0.0000  0.0000  0.5000 [3 per cell]
O  0.0000  0.0000  0.2376 [6 per cell]
O  0.0252  0.5126  0.2328 [18 per cell]

Raw formation energy in eV/atom: -1.4438

Please write out number 1 again, unchanged.
Na2InReO | PBE | optimized geometry

a b c (Å): 5.735 5.735 5.175
angles (deg): 90.00 90.00 90.00
Space group P4/mmm (No. 123)
Inequivalent atoms, fractional coordinates:
Na  0.000  0.500  0.000 [2 per cell]
In  0.000  0.000  0.000 [1 per cell]
Re  0.000  0.000  0.500 [1 per cell]
O  0.500  0.500  0.500 [1 per cell]

Raw formation energy in eV/atom: 1.4510